Entry 1:
VASP calculation (PBEsol) on a relaxed HfNiP crystal.

The electronic total energy comes out at -8.640 eV per atom. The value obtained for the density of states at the Fermi level is 1.5 states/eV/f.u. Its density is 11.04 g cm⁻³. As for the energy relative to the elements: -1.16 eV per atom.

The structure belongs to space group Pnma (No. 62); the cell edges are 6.232, 3.668 and 7.055 Å and the angles 90.00°, 90.00° and 90.00°. The distinct sites, in fractional coordinates, are Hf at (0.019, 0.250, 0.183), Ni at (0.155, 0.250, 0.567) and P at (0.222, 0.750, 0.388).

***

Entry 2:
VASP calculation (PBEsol) on a relaxed PbCl2 crystal.

The calculation puts the formation energy (no corrections) at -3.14 eV/f.u. The electronic total energy comes out at -3.719 eV per atom. The value obtained for the density of states at the Fermi level is 0.0 states/eV/f.u. Its density is 4.38 g cm⁻³.

The structure belongs to space group Cmcm (No. 63); the cell edges are 4.202, 17.723 and 5.665 Å and the angles 90.00°, 90.00° and 90.00°. The distinct sites, in fractional coordinates, are Pb at (0.000, 0.168, 0.250), Cl at (0.000, 0.205, 0.750) and Cl at (0.000, 0.430, 0.750).

***

Entry 3:
VASP calculation (PBEsol) on a relaxed MgGa crystal.

The electronic total energy comes out at -2.623 eV per atom. The value obtained for the density of states at the Fermi level is 0.8 states/eV/f.u. Its density is 4.06 g cm⁻³. As for the energy relative to the elements: -0.09 eV per atom.

The structure belongs to space group P-6m2 (No. 187); the cell edges are 3.1530, 3.1530 and 4.4669 Å and the angles 90.00°, 90.00° and 120.00°. The distinct sites, in fractional coordinates, are Mg at (0.0000, 0.0000, 0.0000) and Ga at (0.3333, 0.6667, 0.5000).

***

Entry 4:
VASP calculation (PBEsol) on a relaxed ZnCrN2F crystal.

The calculation puts the formation energy (no corrections) at -0.79 eV/f.u. The electronic total energy comes out at -6.320 eV per atom. The value obtained for the density of states at the Fermi level is 2.1 states/eV/f.u. Its density is 5.25 g cm⁻³.

The structure belongs to space group P4/mmm (No. 123); the cell edges are 3.695, 3.695 and 3.810 Å and the angles 90.00°, 90.00° and 90.00°. The distinct sites, in fractional coordinates, are Zn at (0.000, 0.000, 0.000), Cr at (0.500, 0.500, 0.500), N at (0.000, 0.500, 0.500) and F at (0.500, 0.500, 0.000).

***

> electronic total energy of number 3 (MgGa)?

-2.623 eV per atom